Crystalline K2ScCl at its relaxed geometry, computed with GGA-PBE.

Unit cell a=3.856 b=3.856 c=11.286 alpha=80.34 beta=80.34 gamma=59.85
Each line ends with the local moment (μB).
Element x y z (fractional)
Sc 0.250 0.250 0.250  0.65
K 0.021 0.021 0.940  0.01
K 0.479 0.479 0.560  0.01
Cl 0.750 0.750 0.750  0.00

Properties
volume	142.3	Å³ per cell
formation energy from raw total energies	-2.0	eV per formula unit

Crystalline KSc4Cl at its relaxed geometry, computed with GGA-PBE.

Unit cell a=6.404 b=6.404 c=6.404 alpha=60.00 beta=60.00 gamma=60.00
Element x y z (fractional)
K 0.000 0.000 0.000
Sc 0.880 0.373 0.373
Sc 0.373 0.373 0.880
Sc 0.373 0.880 0.373
Sc 0.373 0.373 0.373
Cl 0.750 0.750 0.750

Properties
volume	185.7	Å³ per cell
formation energy from raw total energies	2.9	eV per formula unit

Crystalline K2ScCl at its relaxed geometry, computed with GGA-PBE.

Unit cell a=12.238 b=12.238 c=9.006 alpha=47.20 beta=47.20 gamma=90.00
Each line ends with the local moment (μB).
Element x y z (fractional)
Sc 0.000 0.000 0.000  0.65
Sc 0.750 0.250 0.500  0.65
K 0.483 0.125 0.250  0.01
K 0.267 0.625 0.250  0.01
K 0.375 0.517 0.750  0.01
K 0.875 0.733 0.750  0.01
Cl 0.500 0.500 0.000  -0.02
Cl 0.250 0.750 0.500  -0.02

Properties
volume	373.6	Å³ per cell
formation energy from raw total energies	-1.1	eV per formula unit

Crystalline K4ScCl at its relaxed geometry, computed with GGA-PBE.

Unit cell a=7.724 b=7.724 c=7.724 alpha=60.00 beta=60.00 gamma=60.00
Each line ends with the local moment (μB).
Element x y z (fractional)
K 0.876 0.375 0.375  0.00
K 0.375 0.375 0.876  0.00
K 0.375 0.876 0.375  0.00
K 0.375 0.375 0.375  0.00
Sc 0.750 0.750 0.750  0.93
Cl 0.000 0.000 0.000  0.00

Properties
volume	325.8	Å³ per cell
formation energy from raw total energies	1.4	eV per formula unit

Crystalline K4ScCl6 at its relaxed geometry, computed with GGA-PBE.

Unit cell a=8.703 b=8.703 c=8.894 alpha=90.00 beta=90.00 gamma=90.00
Each line ends with the local moment (μB).
Element x y z (fractional)
K 0.326 0.174 0.250  0.00
K 0.174 0.674 0.750  0.00
K 0.674 0.826 0.750  0.00
K 0.826 0.326 0.750  0.00
K 0.326 0.174 0.750  0.00
K 0.174 0.674 0.250  0.00
K 0.826 0.326 0.250  0.00
K 0.674 0.826 0.250  0.00
Sc 0.500 0.500 0.000  0.73
Sc 0.000 0.000 0.500  0.73
Cl 0.295 0.910 0.500  0.00
Cl 0.795 0.590 0.000  0.00
Cl 0.590 0.205 0.000  0.00
Cl 0.090 0.295 0.500  0.00
Cl 0.000 0.000 0.213  -0.01
Cl 0.500 0.500 0.287  -0.01
Cl 0.410 0.795 0.000  0.00
Cl 0.000 0.000 0.787  -0.01
Cl 0.205 0.410 0.000  0.00
Cl 0.500 0.500 0.713  -0.01
Cl 0.910 0.705 0.500  0.00
Cl 0.705 0.090 0.500  0.00

Properties
volume	673.6	Å³ per cell
formation energy from raw total energies	-20.7	eV per formula unit

Crystalline K2ScCl at its relaxed geometry, computed with GGA-PBE.

Unit cell a=7.417 b=7.417 c=7.417 alpha=150.83 beta=122.97 gamma=65.33
Each line ends with the local moment (μB).
Element x y z (fractional)
Sc 0.750 0.250 0.500  0.93
K 0.062 0.062 0.000  0.01
K 0.438 0.438 0.000  0.01
Cl 0.250 0.750 0.500  0.00

Properties
volume	165.2	Å³ per cell
formation energy from raw total energies	-0.7	eV per formula unit

Crystalline K2ScCl at its relaxed geometry, computed with GGA-PBE.

Unit cell a=11.669 b=11.669 c=11.669 alpha=18.59 beta=18.59 gamma=18.59
Each line ends with the local moment (μB).
Element x y z (fractional)
Sc 0.477 0.477 0.477  0.59
K 0.023 0.023 0.023  0.00
K 0.239 0.239 0.239  0.01
Cl 0.760 0.760 0.760  0.00

Properties
volume	141.1	Å³ per cell
formation energy from raw total energies	-1.8	eV per formula unit

Crystalline K3ScCl6 at its relaxed geometry, computed with GGA-PBE.

Unit cell a=7.398 b=7.809 c=10.595 alpha=90.00 beta=89.54 gamma=90.00
Element x y z (fractional)
K 0.527 0.928 0.754
K 0.500 0.500 0.000
K 0.473 0.072 0.246
K 0.027 0.572 0.254
K 0.000 0.000 0.500
K 0.973 0.428 0.746
Sc 0.500 0.500 0.500
Sc 0.000 0.000 0.000
Cl 0.727 0.175 0.947
Cl 0.663 0.232 0.570
Cl 0.618 0.454 0.280
Cl 0.382 0.546 0.720
Cl 0.337 0.768 0.430
Cl 0.273 0.825 0.053
Cl 0.227 0.325 0.447
Cl 0.163 0.268 0.070
Cl 0.118 0.046 0.780
Cl 0.882 0.954 0.220
Cl 0.837 0.732 0.930
Cl 0.773 0.675 0.553

Properties
volume	612.0	Å³ per cell
formation energy from raw total energies	-20.6	eV per formula unit

Crystalline KSc2Cl at its relaxed geometry, computed with GGA-PBE.

Unit cell a=6.906 b=3.546 c=5.070 alpha=90.44 beta=90.00 gamma=90.00
Each line ends with the local moment (μB).
Element x y z (fractional)
Sc 0.000 0.013 0.997  0.47
Sc 0.000 0.487 0.503  0.47
K 0.500 0.750 0.750  0.02
Cl 0.500 0.250 0.250  0.02

Properties
volume	124.1	Å³ per cell
formation energy from raw total energies	-0.4	eV per formula unit

Crystalline K3ScCl6 at its relaxed geometry, computed with GGA-PBE.

Unit cell a=7.577 b=12.804 c=13.028 alpha=72.36 beta=90.00 gamma=90.00
Element x y z (fractional)
Cl 0.172 0.862 0.145
Cl 0.672 0.138 0.355
Cl 0.828 0.138 0.855
Cl 0.328 0.862 0.645
Cl 0.284 0.576 0.411
Cl 0.784 0.424 0.089
Cl 0.716 0.424 0.589
Cl 0.216 0.576 0.911
Cl 0.844 0.529 0.321
Cl 0.344 0.471 0.179
Cl 0.156 0.471 0.679
Cl 0.656 0.529 0.821
Cl 0.595 0.686 0.001
Cl 0.095 0.314 0.499
Cl 0.405 0.314 0.999
Cl 0.905 0.686 0.501
Cl 0.721 0.924 0.098
Cl 0.221 0.076 0.402
Cl 0.279 0.076 0.902
Cl 0.779 0.924 0.598
Cl 0.519 0.871 0.388
Cl 0.019 0.129 0.112
Cl 0.481 0.129 0.612
Cl 0.981 0.871 0.888
K 0.936 0.925 0.337
K 0.436 0.075 0.163
K 0.064 0.075 0.663
K 0.564 0.925 0.837
K 0.009 0.646 0.089
K 0.509 0.354 0.411
K 0.991 0.354 0.911
K 0.491 0.646 0.589
K 0.518 0.710 0.228
K 0.018 0.290 0.272
K 0.482 0.290 0.772
K 0.982 0.710 0.728
Sc 0.000 0.000 0.000
Sc 0.500 0.000 0.500
Sc 0.000 0.500 0.500
Sc 0.500 0.500 0.000

Properties
volume	1204.4	Å³ per cell
formation energy from raw total energies	-20.6	eV per formula unit

Crystalline K2ScCl4 at its relaxed geometry, computed with GGA-PBE.

Unit cell a=5.071 b=5.071 c=8.778 alpha=106.79 beta=106.79 gamma=90.00
Each line ends with the local moment (μB).
Element x y z (fractional)
Sc 0.000 0.000 0.000  0.67
K 0.643 0.643 0.286  0.00
K 0.357 0.357 0.714  0.00
Cl 0.836 0.836 0.672  0.00
Cl 0.164 0.164 0.328  0.00
Cl 0.000 0.500 0.000  -0.01
Cl 0.500 0.000 0.000  -0.01

Properties
volume	206.1	Å³ per cell
formation energy from raw total energies	-13.2	eV per formula unit

Crystalline K3ScCl8 at its relaxed geometry, computed with GGA-PBE.

Unit cell a=7.127 b=7.127 c=8.768 alpha=113.98 beta=113.98 gamma=90.00
Each line ends with the local moment (μB).
Element x y z (fractional)
K 0.750 0.250 0.500  0.00
K 0.500 0.500 0.000  0.00
K 0.250 0.750 0.500  0.00
Sc 0.000 0.000 0.000  -0.02
Cl 0.326 0.326 0.218  0.17
Cl 0.326 0.892 0.218  0.17
Cl 0.108 0.674 0.782  0.17
Cl 0.108 0.108 0.782  0.17
Cl 0.892 0.892 0.218  0.17
Cl 0.892 0.326 0.218  0.17
Cl 0.674 0.108 0.782  0.17
Cl 0.674 0.674 0.782  0.17

Properties
volume	364.4	Å³ per cell
formation energy from raw total energies	-17.7	eV per formula unit